First-principles (GGA-PBEsol) data for a relaxed structure of MgNi2Hg, as listed in Alexandria via LeMat-Bulk.

Unit cell a=3.777 b=3.777 c=7.851 alpha=90.00 beta=90.00 gamma=90.00
Positions (direct):
Mg1 0.000 0.000 0.000
Mg2 0.500 0.500 0.500
Ni1 0.000 0.000 0.500
Ni2 0.000 0.500 0.250
Ni3 0.500 0.000 0.750
Ni4 0.500 0.500 0.000
Hg1 0.000 0.500 0.750
Hg2 0.500 0.000 0.250

Properties
DOS(E_F) ... 0.547 states/eV/atom
Energy of formation ... -33 meV/atom


First-principles (GGA-PBEsol) data for a relaxed structure of Mg2HgOs, as listed in Alexandria via LeMat-Bulk.

Unit cell a=2.921 b=2.921 c=8.565 alpha=90.00 beta=90.00 gamma=90.00
Positions (direct):
Mg1 0.000 0.000 0.000
Mg2 0.500 0.500 0.300
Hg1 0.500 0.500 0.749
Os1 0.000 0.000 0.511

Properties
DOS(E_F) ... 0.918 states/eV/atom
Energy of formation ... 369 meV/atom